1.
GGA-PBE Sr2IrW, optimized geometry; E above lowest polymorph = 2.58 eV per formula unit; size of the total moment = 0.00 μB per formula unit; energy relative to the elements = 0.980 eV per atom; SG = No. 65; E_tot = -5.3142 eV per atom; Fermi-level density of states = 3.147 states/eV/cell
1.0
5.804 -0.012 0.000
-3.037 4.947 0.000
0.000 0.000 3.116
Ir Sr W
1 2 1
Direct
0.000 0.500 0.500
0.000 0.000 0.000
0.500 0.500 0.000
0.500 0.000 0.500

***

2.
GGA-PBE NaAs3Au, optimized geometry; E above lowest polymorph = 0.00 eV per formula unit; size of the total moment = 0.00 μB per formula unit; energy relative to the elements = 0.495 eV per atom; SG = No. 221; E_tot = -3.2140 eV per atom; Fermi-level density of states = 4.872 states/eV/cell
1.0
-1.213 4.131 2.818
-4.474 0.399 -2.511
-2.234 -3.042 3.498
Na As Au
1 3 1
Direct
0.500 0.500 0.500
0.000 0.500 0.000
0.000 0.000 0.500
0.500 0.000 0.000
0.000 0.000 0.000

***

3.
GGA-PBE Co2MoOs, optimized geometry; E above lowest polymorph = 0.72 eV per formula unit; size of the total moment = 2.11 μB per formula unit; energy relative to the elements = 0.177 eV per atom; SG = No. 12; E_tot = -8.8910 eV per atom; Fermi-level density of states = 5.421 states/eV/cell
1.0
4.535 0.001 -0.001
3.750 2.552 -0.001
0.785 0.242 4.538
Co Mo Os
2 1 1
Direct
0.996 0.996 0.011
0.504 0.504 0.489
0.750 0.750 0.750
0.250 0.250 0.250

***

4.
GGA-PBE CeTm2InN, optimized geometry; size of the total moment = 0.76 μB per formula unit; SG = No. 123; ΔE_f (raw) = -0.899 eV/atom; E_tot = -6.0869 eV per atom; Fermi-level density of states = 6.771 states/eV/cell
1.0
-1.183 -0.283 4.703
-4.472 -1.225 -1.199
1.255 -4.622 0.038
Ce Tm In N
1 2 1 1
Direct
0.500 0.000 0.000
0.000 0.000 0.500
0.000 0.500 0.000
0.500 0.500 0.500
0.000 0.000 0.000

***

5.
GGA-PBE HoTm6In2, optimized geometry; size of the total moment = 0.00 μB per formula unit; energy relative to the elements = -0.203 eV per atom; SG = No. 12; E_tot = -4.3010 eV per atom; Fermi-level density of states = 10.407 states/eV/cell
1.0
-1.851 -3.086 0.797
4.460 -4.724 0.593
2.226 -0.590 11.414
Ho Tm In
1 6 2
Direct
0.000 0.000 0.000
0.683 0.511 0.123
0.317 0.489 0.877
0.312 0.793 0.583
0.985 0.686 0.343
0.015 0.314 0.657
0.688 0.207 0.417
0.355 0.082 0.208
0.645 0.918 0.792

***

6.
GGA-PBE SrTa2W, optimized geometry; E above lowest polymorph = 2.18 eV per formula unit; size of the total moment = 0.00 μB per formula unit; energy relative to the elements = 1.117 eV per atom; SG = No. 216; E_tot = -8.4684 eV per atom; Fermi-level density of states = 8.270 states/eV/cell
1.0
-2.748 3.992 -0.498
-3.379 0.210 -3.503
-4.729 -0.136 1.165
Sr Ta W
1 2 1
Direct
0.500 0.500 0.500
0.000 0.000 0.000
0.250 0.250 0.250
0.750 0.750 0.750

***

7.
GGA-PBE DyMg2Zn9, optimized geometry; size of the total moment = 0.00 μB per formula unit; energy relative to the elements = -0.197 eV per atom; SG = No. 166; E_tot = -1.8014 eV per atom; Fermi-level density of states = 3.829 states/eV/cell
1.0
-3.264 0.834 4.071
-1.060 -3.919 3.382
5.066 1.302 7.224
Dy Mg Zn
1 2 9
Direct
0.000 0.000 0.000
0.859 0.859 0.422
0.141 0.141 0.578
0.666 0.666 0.001
0.334 0.334 0.999
0.500 0.500 0.500
0.412 0.412 0.255
0.920 0.412 0.255
0.412 0.920 0.255
0.588 0.588 0.745
0.588 0.080 0.745
0.080 0.588 0.745

***

8.
GGA-PBE IrCl3, optimized geometry; size of the total moment = 0.00 μB per formula unit; SG = No. 187; ΔE_f (raw) = 0.607 eV/atom; E_tot = -2.9934 eV per atom; Fermi-level density of states = 5.504 states/eV/cell
1.0
-2.384 2.384 0.643
-0.564 -2.388 -2.400
-3.302 -4.798 5.548
Ir Cl
1 3
Direct
0.667 0.333 0.750
0.000 0.000 0.940
0.000 0.000 0.560
0.667 0.333 0.250